This record from Alexandria describes a relaxed BaCoBr crystal. The functional is GGA-PBE.

Summary:
The calculated volume is 348.0 Å³ per cell. As for the crystal system: orthorhombic. The offset from the most stable computed form is 69 meV/atom. The density comes out at 5.27 g cm⁻³. The calculation puts the formation energy from raw total energies at -0.63 eV/atom. The calculation puts the density of states at the Fermi level at 8.2 states/eV per cell.

a b c (Å): 9.1148 4.2799 8.9212
angles (deg): 90.00 90.00 90.00
Fractional coordinates of all 12 atoms:
Ba: 0.2196 0.2500 0.1921
Ba: 0.2804 0.7500 0.6921
Ba: 0.7196 0.2500 0.3079
Ba: 0.7804 0.7500 0.8079
Co: 0.0137 0.2500 0.5477
Co: 0.4863 0.7500 0.0477
Co: 0.5137 0.2500 0.9523
Co: 0.9863 0.7500 0.4523
Br: 0.0595 0.2500 0.8476
Br: 0.4405 0.7500 0.3476
Br: 0.5595 0.2500 0.6524
Br: 0.9405 0.7500 0.1524